An optimized crystal structure of LaCe. Source: Alexandria via LeMat-Bulk, functional PBE.

Unit cell a=6.136 b=6.136 c=6.136 alpha=33.26 beta=33.26 gamma=33.26
Positions (direct):
La 0.000 0.000 0.000
Ce 0.500 0.500 0.500

Values from the calculation:
Its excess energy over the best structure of this formula in the dataset is 20 meV/atom.

=====

An optimized crystal structure of LaCe2. Source: Alexandria via LeMat-Bulk, functional PBE.

Unit cell a=7.805 b=7.805 c=7.805 alpha=154.54 beta=154.54 gamma=36.31
Positions (direct):
La 0.000 0.000 0.000
Ce 0.326 0.326 0.000
Ce 0.674 0.674 0.000

Values from the calculation:
Its excess energy over the best structure of this formula in the dataset is 0 meV/atom.

=====

An optimized crystal structure of LaCe. Source: Alexandria via LeMat-Bulk, functional PBE.

Unit cell a=4.082 b=4.082 c=4.082 alpha=90.00 beta=90.00 gamma=90.00
Positions (direct):
La 0.000 0.000 0.000
Ce 0.500 0.500 0.500

Values from the calculation:
Its excess energy over the best structure of this formula in the dataset is 192 meV/atom.

=====

An optimized crystal structure of La7Ce. Source: Alexandria via LeMat-Bulk, functional PBE.

Unit cell a=7.392 b=7.392 c=7.392 alpha=60.00 beta=60.00 gamma=60.00
Positions (direct):
La 0.000 0.000 0.000
La 0.000 0.000 0.500
La 0.000 0.500 0.000
La 0.000 0.500 0.500
La 0.500 0.000 0.000
La 0.500 0.000 0.500
La 0.500 0.500 0.000
Ce 0.500 0.500 0.500

=====

An optimized crystal structure of La3Ce. Source: Alexandria via LeMat-Bulk, functional PBE.

Unit cell a=7.040 b=7.040 c=7.040 alpha=149.70 beta=63.14 gamma=126.05
Positions (direct):
La 0.000 0.000 0.000
La 0.110 0.351 0.759
La 0.592 0.351 0.241
Ce 0.513 0.013 0.500

=====

An optimized crystal structure of LiLa2Ce. Source: Alexandria via LeMat-Bulk, functional PBE.

Unit cell a=12.333 b=12.333 c=12.333 alpha=15.69 beta=15.69 gamma=15.69
Positions (direct):
Li 0.000 0.000 0.000
La 0.414 0.414 0.414
La 0.586 0.586 0.586
Ce 0.500 0.500 0.500

Values from the calculation:
Its excess energy over the best structure of this formula in the dataset is 178 meV/atom.

=====

An optimized crystal structure of LiLa2Ce. Source: Alexandria via LeMat-Bulk, functional PBE.

Unit cell a=5.539 b=5.539 c=5.539 alpha=60.00 beta=60.00 gamma=60.00
Positions (direct):
Li 0.000 0.000 0.000
La 0.250 0.250 0.250
La 0.750 0.750 0.750
Ce 0.500 0.500 0.500

Values from the calculation:
Its excess energy over the best structure of this formula in the dataset is 184 meV/atom.

=====

An optimized crystal structure of LiLa2Ce. Source: Alexandria via LeMat-Bulk, functional PBE.

Unit cell a=11.772 b=11.772 c=11.772 alpha=17.27 beta=17.27 gamma=17.27
Positions (direct):
Li 0.000 0.000 0.000
La 0.417 0.417 0.417
La 0.583 0.583 0.583
Ce 0.167 0.167 0.167

Values from the calculation:
Its excess energy over the best structure of this formula in the dataset is 63 meV/atom.

=====

An optimized crystal structure of LiLa2Ce. Source: Alexandria via LeMat-Bulk, functional PBE.

Unit cell a=3.588 b=3.588 c=9.356 alpha=90.00 beta=90.00 gamma=90.00
Positions (direct):
Li 0.000 0.000 0.000
La 0.500 0.500 0.249
La 0.500 0.500 0.751
Ce 0.000 0.000 0.500

Values from the calculation:
Its excess energy over the best structure of this formula in the dataset is 0 meV/atom.

=====

An optimized crystal structure of LiLaCe2. Source: Alexandria via LeMat-Bulk, functional PBE.

Unit cell a=10.330 b=10.330 c=10.330 alpha=22.78 beta=22.78 gamma=22.78
Positions (direct):
Li 0.000 0.000 0.000
La 0.500 0.500 0.500
Ce 0.113 0.113 0.113
Ce 0.887 0.887 0.887

Values from the calculation:
Its excess energy over the best structure of this formula in the dataset is 567 meV/atom.

=====

An optimized crystal structure of LiLaCe2. Source: Alexandria via LeMat-Bulk, functional PBE.

Unit cell a=3.476 b=3.476 c=9.351 alpha=90.00 beta=90.00 gamma=90.00
Positions (direct):
Li 0.000 0.000 0.000
La 0.000 0.000 0.500
Ce 0.500 0.500 0.234
Ce 0.500 0.500 0.766

Values from the calculation:
Its excess energy over the best structure of this formula in the dataset is 0 meV/atom.

=====

An optimized crystal structure of LiLa2Ce. Source: Alexandria via LeMat-Bulk, functional PBE.

Unit cell a=5.833 b=5.833 c=3.510 alpha=90.00 beta=90.00 gamma=90.00
Positions (direct):
Li 0.000 0.000 0.000
La 0.000 0.500 0.500
La 0.500 0.000 0.500
Ce 0.500 0.500 0.000

Values from the calculation:
Its excess energy over the best structure of this formula in the dataset is 69 meV/atom.

=====

| no. | E_form (eV per atom) |
| --- | --- |
| 1 | 0.090 |
| 2 | 0.071 |
| 3 | 0.262 |
| 4 | 0.051 |
| 5 | 0.097 |
| 6 | 0.233 |
| 7 | 0.240 |
| 8 | 0.119 |
| 9 | 0.056 |
| 10 | 0.778 |
| 11 | 0.211 |
| 12 | 0.125 |